Crystalline TlHgI2 at its relaxed geometry. Source: Alexandria, functional PBE-GGA.

Results
Symmetry   R-3m, No. 166
Raw formation energy   -0.24 eV per atom
Total energy   -6.75 eV per cell
Excess energy over the best structure of this formula in the dataset   168 meV per atom
Density of states at the Fermi level   4.28 states/eV per cell

abc: 4.9832 4.9832 10.3370
angles: 76.05 76.05 60.00
With the nearest neighbours (Å) after each atom.
Atoms (fractional coordinates):
I (0.0991, 0.0991, 0.7026)  1 Hg 2.95
I (0.9009, 0.9009, 0.2974)  1 Hg 2.95
Tl (0.5000, 0.5000, 0.5000)  6 I 3.51
Hg (0.0000, 0.0000, 0.0000)  2 I 2.95

***

Crystalline Te4Pd9 at its relaxed geometry. Source: Alexandria, functional PBE-GGA.

Results
Symmetry   P2_1/c, No. 14
Raw formation energy   -0.31 eV per atom
Total energy   -253.57 eV per cell
Density of states at the Fermi level   22.51 states/eV per cell

abc: 14.1691 7.5465 9.0387
angles: 88.35 90.00 90.00
With the nearest neighbours (Å) after each atom.
Atoms (fractional coordinates):
Te (0.9963, 0.2459, 0.8531)  9 Pd 2.74-2.90
Te (0.4963, 0.7541, 0.6469)  9 Pd 2.74-2.90
Te (0.0037, 0.7541, 0.1469)  9 Pd 2.74-2.90
Te (0.5037, 0.2459, 0.3531)  9 Pd 2.74-2.90
Te (0.4948, 0.2979, 0.8885)  6 Pd 2.68-2.92
Te (0.9948, 0.7021, 0.6115)  6 Pd 2.68-2.92
Te (0.5052, 0.7021, 0.1115)  6 Pd 2.68-2.92
Te (0.0052, 0.2979, 0.3885)  6 Pd 2.68-2.92
Te (0.7373, 0.0487, 0.6420)  9 Pd 2.63-2.89
Te (0.2373, 0.9513, 0.8580)  9 Pd 2.63-2.89
Te (0.2627, 0.9513, 0.3580)  9 Pd 2.63-2.89
Te (0.7627, 0.0487, 0.1420)  9 Pd 2.63-2.89
Te (0.2485, 0.4612, 0.5659)  9 Pd 2.69-3.00
Te (0.7485, 0.5388, 0.9341)  9 Pd 2.69-3.00
Te (0.7515, 0.5388, 0.4341)  9 Pd 2.69-3.00
Te (0.2515, 0.4612, 0.0659)  9 Pd 2.69-3.00
Pd (0.6784, 0.2069, 0.8958)  4 Te 2.69-2.77, 6 Pd 2.83-2.99
Pd (0.1784, 0.7931, 0.6042)  4 Te 2.69-2.77, 6 Pd 2.83-2.99
Pd (0.3216, 0.7931, 0.1042)  4 Te 2.69-2.77, 6 Pd 2.83-2.99
Pd (0.8216, 0.2069, 0.3958)  4 Te 2.69-2.77, 6 Pd 2.83-2.99
Pd (0.3060, 0.2752, 0.8243)  4 Te 2.64-2.81, 3 Pd 2.87-2.88
Pd (0.8060, 0.7248, 0.6757)  4 Te 2.64-2.81, 3 Pd 2.87-2.88
Pd (0.6940, 0.7248, 0.1757)  4 Te 2.64-2.81, 3 Pd 2.87-2.88
Pd (0.1940, 0.2752, 0.3243)  4 Te 2.64-2.81, 3 Pd 2.87-2.88
Pd (0.9383, 0.0406, 0.6121)  4 Te 2.68-2.92, 5 Pd 2.76-2.91
Pd (0.4383, 0.9594, 0.8879)  4 Te 2.68-2.92, 5 Pd 2.76-2.91
Pd (0.0617, 0.9594, 0.3879)  4 Te 2.68-2.92, 5 Pd 2.76-2.91
Pd (0.5617, 0.0406, 0.1121)  4 Te 2.68-2.92, 5 Pd 2.76-2.91
Pd (0.5484, 0.1105, 0.6441)  4 Te 2.72-2.86, 5 Pd 2.81-3.03
Pd (0.0484, 0.8895, 0.8559)  4 Te 2.72-2.86, 5 Pd 2.81-3.03
Pd (0.4516, 0.8895, 0.3559)  4 Te 2.72-2.86, 5 Pd 2.81-3.03
Pd (0.9516, 0.1105, 0.1441)  4 Te 2.72-2.86, 5 Pd 2.81-3.03
Pd (0.3499, 0.0146, 0.6079)  3 Te 2.63-2.87, 4 Pd 2.84-2.92
Pd (0.8499, 0.9854, 0.8921)  3 Te 2.63-2.87, 4 Pd 2.84-2.92
Pd (0.6501, 0.9854, 0.3921)  3 Te 2.63-2.87, 4 Pd 2.84-2.92
Pd (0.1501, 0.0146, 0.1079)  3 Te 2.63-2.87, 4 Pd 2.84-2.92
Pd (0.1408, 0.1689, 0.6372)  3 Te 2.74-2.90, 6 Pd 2.91-3.04
Pd (0.6408, 0.8311, 0.8628)  3 Te 2.74-2.90, 6 Pd 2.91-3.04
Pd (0.8592, 0.8311, 0.3628)  3 Te 2.74-2.90, 6 Pd 2.91-3.04
Pd (0.3592, 0.1689, 0.1372)  3 Te 2.74-2.90, 6 Pd 2.91-3.04
Pd (0.8301, 0.3459, 0.7020)  3 Te 2.67-2.83, 4 Pd 2.88-2.95
Pd (0.3301, 0.6541, 0.7980)  3 Te 2.67-2.83, 4 Pd 2.88-2.95
Pd (0.1699, 0.6541, 0.2980)  3 Te 2.67-2.83, 4 Pd 2.88-2.95
Pd (0.6699, 0.3459, 0.2020)  3 Te 2.67-2.83, 4 Pd 2.88-2.95
Pd (0.6319, 0.4996, 0.6931)  4 Te 2.74-3.01, 6 Pd 2.90-3.04
Pd (0.1319, 0.5004, 0.8069)  4 Te 2.74-3.01, 6 Pd 2.90-3.04
Pd (0.3681, 0.5004, 0.3069)  4 Te 2.74-3.01, 6 Pd 2.90-3.04
Pd (0.8681, 0.4996, 0.1931)  4 Te 2.74-3.01, 6 Pd 2.90-3.04
Pd (0.4353, 0.4143, 0.6053)  4 Te 2.69-2.81, 6 Pd 2.81-2.97
Pd (0.9353, 0.5857, 0.8947)  4 Te 2.69-2.81, 6 Pd 2.81-2.97
Pd (0.5647, 0.5857, 0.3947)  4 Te 2.69-2.81, 6 Pd 2.81-2.97
Pd (0.0647, 0.4143, 0.1053)  4 Te 2.69-2.81, 6 Pd 2.81-2.97

***

Crystalline K2Sb2Pd3 at its relaxed geometry. Source: Alexandria, functional PBE-GGA.

Results
Symmetry   C2/m, No. 12
Raw formation energy   -0.45 eV per atom
Total energy   -29.20 eV per cell
Density of states at the Fermi level   2.19 states/eV per cell

abc: 4.2720 6.7777 8.0915
angles: 119.05 90.00 108.37
With the nearest neighbours (Å) after each atom.
Atoms (fractional coordinates):
K (0.8821, 0.7642, 0.2501)  4 Sb 3.55-3.60, 7 Pd 3.60-3.86, 1 K 3.61
K (0.1179, 0.2358, 0.7499)  4 Sb 3.55-3.60, 7 Pd 3.60-3.86, 1 K 3.61
Sb (0.8519, 0.7038, 0.7894)  5 Pd 2.61-2.79
Sb (0.1481, 0.2962, 0.2106)  5 Pd 2.61-2.79
Pd (0.5000, 0.0000, 0.0000)  4 Sb 2.79, 2 Pd 2.89
Pd (0.6680, 0.3359, 0.4106)  3 Sb 2.61-2.75, 3 Pd 2.83-2.89
Pd (0.3320, 0.6641, 0.5894)  3 Sb 2.61-2.75, 3 Pd 2.83-2.89